The following is a PBE+U calculation of a geometry-optimized Mn2AlSnO6 structure, from Alexandria.

## Properties
Space group: P1, No. 1
Energy, eV per atom: -7.063

Unit cell a=5.1533 b=5.1538 c=5.5219 alpha=62.33 beta=89.96 gamma=60.11
With the nearest neighbours (Å) after each atom.
Fractional coordinates of all 10 atoms:
1 Mn 0.0000 0.0000 0.0000  6 O 1.98-2.03
2 Mn 0.4763 0.0467 0.4285  6 O 2.10-2.35
3 Al 0.6885 0.6191 0.0687  6 O 1.91-1.99
4 Sn 0.2016 0.5971 0.6035  6 O 2.05-2.20
5 O 0.0470 0.1378 0.2698  1 Al 1.92, 2 Mn 1.98-2.11
6 O 0.2974 0.0964 0.8052  1 Al 1.99, 1 Mn 2.00, 1 Sn 2.05
7 O 0.4087 0.5414 0.2711  1 Al 1.91, 2 Mn 2.00-2.11
8 O 0.6039 0.4969 0.8031  1 Al 1.97, 1 Mn 2.03, 1 Sn 2.05
9 O 0.8131 0.7775 0.2700  1 Al 1.92, 2 Mn 1.99-2.10
10 O 0.8981 0.8017 0.8030  1 Al 1.98, 1 Mn 2.02, 1 Sn 2.05